(1)
# Ag2MoW, optimized geometry, DFT PBE-GGA
# E = -0.2523 Ha/atom
# Size of the total moment = 0.00 μB per cell
# Relative energy among the computed polymorphs = 0.203 eV per atom
# Symmetry = No. 25
# Formation energy from the elements = 507 meV per atom
# Density of states at the Fermi level = 0.600 states/eV/atom
data_Ag2MoW
_chemical_formula_sum 'Ag2 Mo1 W1'
_cell_length_a 2.688
_cell_length_b 4.214
_cell_length_c 5.907
_cell_angle_alpha 90.00
_cell_angle_beta 90.00
_cell_angle_gamma 90.00
_symmetry_space_group_name_H-M 'P 1'
_symmetry_Int_Tables_number 1
loop_
_symmetry_equiv_pos_as_xyz
'x,y,z'
loop_
_atom_site_label
_atom_site_fract_x
_atom_site_fract_y
_atom_site_fract_z
_atom_site_occupancy
Ag1 0.000 0.000 0.005 1
Ag2 0.500 0.500 0.244 1
Mo1 0.000 0.000 0.513 1
W1 0.500 0.500 0.738 1

***

(2)
# BC2, optimized geometry, DFT PBE-GGA
# E = -0.2937 Ha/atom
# Size of the total moment = 0.00 μB per cell
# Relative energy among the computed polymorphs = 0.142 eV per atom
# Symmetry = No. 6
# Formation energy from the elements = 382 meV per atom
# Density of states at the Fermi level = 0.128 states/eV/atom
data_BC2
_chemical_formula_sum 'B4 C8'
_cell_length_a 2.561
_cell_length_b 4.441
_cell_length_c 6.704
_cell_angle_alpha 89.64
_cell_angle_beta 90.00
_cell_angle_gamma 90.00
_symmetry_space_group_name_H-M 'P 1'
_symmetry_Int_Tables_number 1
loop_
_symmetry_equiv_pos_as_xyz
'x,y,z'
loop_
_atom_site_label
_atom_site_fract_x
_atom_site_fract_y
_atom_site_fract_z
_atom_site_occupancy
B1 0.500 0.894 0.353 1
B2 0.500 0.508 0.214 1
B3 0.000 0.341 0.594 1
B4 0.000 0.294 0.345 1
C1 0.500 0.503 0.981 1
C2 0.500 0.160 0.919 1
C3 0.000 0.680 0.673 1
C4 0.000 0.964 0.228 1
C5 0.000 0.991 0.999 1
C6 0.000 0.667 0.904 1
C7 0.500 0.153 0.694 1
C8 0.500 0.845 0.596 1

***

(3)
# CeNd2Sm3Se6, optimized geometry, DFT PBE-GGA
# E = -0.2219 Ha/atom
# Size of the total moment = 1.14 μB per cell
# Uncorrected formation energy = -1828 meV/atom
# Symmetry = No. 12
# Density of states at the Fermi level = 0.929 states/eV/atom
data_CeNd2Sm3Se6
_chemical_formula_sum 'Ce1 Nd2 Sm3 Se6'
_cell_length_a 4.181
_cell_length_b 8.440
_cell_length_c 9.381
_cell_angle_alpha 103.04
_cell_angle_beta 102.88
_cell_angle_gamma 90.00
_symmetry_space_group_name_H-M 'P 1'
_symmetry_Int_Tables_number 1
loop_
_symmetry_equiv_pos_as_xyz
'x,y,z'
loop_
_atom_site_label
_atom_site_fract_x
_atom_site_fract_y
_atom_site_fract_z
_atom_site_occupancy
Ce1 0.500 0.000 0.000 1
Nd1 0.834 0.668 0.667 1
Nd2 0.166 0.332 0.333 1
Sm1 0.500 0.500 0.000 1
Sm2 0.832 0.166 0.664 1
Sm3 0.168 0.834 0.336 1
Se1 0.333 0.920 0.666 1
Se2 0.666 0.586 0.332 1
Se3 0.667 0.080 0.334 1
Se4 0.998 0.251 0.997 1
Se5 0.002 0.749 0.003 1
Se6 0.334 0.414 0.668 1

***

(4)
# LaBSb2Te, optimized geometry, DFT PBE-GGA
# E = -0.1675 Ha/atom
# Size of the total moment = 0.00 μB per cell
# Uncorrected formation energy = 40 meV/atom
# Relative energy among the computed polymorphs = 0.000 eV per atom
# Symmetry = No. 123
# Density of states at the Fermi level = 0.821 states/eV/atom
data_LaBSb2Te
_chemical_formula_sum 'La1 B1 Sb2 Te1'
_cell_length_a 4.993
_cell_length_b 4.993
_cell_length_c 5.016
_cell_angle_alpha 90.00
_cell_angle_beta 90.00
_cell_angle_gamma 90.00
_symmetry_space_group_name_H-M 'P 1'
_symmetry_Int_Tables_number 1
loop_
_symmetry_equiv_pos_as_xyz
'x,y,z'
loop_
_atom_site_label
_atom_site_fract_x
_atom_site_fract_y
_atom_site_fract_z
_atom_site_occupancy
Sb1 0.000 0.500 0.000 1
Sb2 0.500 0.000 0.000 1
B1 0.000 0.000 0.000 1
Te1 0.000 0.000 0.500 1
La1 0.500 0.500 0.500 1

***

(5)
# Ac7SmCo3, optimized geometry, DFT PBE-GGA
# E = -0.1840 Ha/atom
# Size of the total moment = 0.00 μB per cell
# Symmetry = No. 156
# Formation energy from the elements = -26 meV per atom
# Density of states at the Fermi level = 1.202 states/eV/atom
data_Ac7SmCo3
_chemical_formula_sum 'Ac7 Sm1 Co3'
_cell_length_a 6.747
_cell_length_b 8.222
_cell_length_c 8.222
_cell_angle_alpha 120.00
_cell_angle_beta 90.00
_cell_angle_gamma 90.00
_symmetry_space_group_name_H-M 'P 1'
_symmetry_Int_Tables_number 1
loop_
_symmetry_equiv_pos_as_xyz
'x,y,z'
loop_
_atom_site_label
_atom_site_fract_x
_atom_site_fract_y
_atom_site_fract_z
_atom_site_occupancy
Ac1 0.025 0.831 0.662 1
Ac2 0.025 0.338 0.169 1
Ac3 0.010 0.333 0.667 1
Ac4 0.541 0.168 0.335 1
Ac5 0.541 0.168 0.832 1
Ac6 0.541 0.665 0.832 1
Ac7 0.025 0.831 0.169 1
Sm1 0.565 0.667 0.333 1
Co1 0.781 0.502 0.004 1
Co2 0.781 0.996 0.498 1
Co3 0.781 0.502 0.498 1

***

(6)
# DyZnH, optimized geometry, DFT PBE-GGA
# E = -0.1281 Ha/atom
# Size of the total moment = 0.00 μB per cell
# Relative energy among the computed polymorphs = 0.000 eV per atom
# Symmetry = No. 14
# Density of states at the Fermi level = 0.475 states/eV/atom
data_DyZnH
_chemical_formula_sum 'Dy4 Zn4 H4'
_cell_length_a 4.592
_cell_length_b 5.978
_cell_length_c 7.436
_cell_angle_alpha 108.35
_cell_angle_beta 90.00
_cell_angle_gamma 90.00
_symmetry_space_group_name_H-M 'P 1'
_symmetry_Int_Tables_number 1
loop_
_symmetry_equiv_pos_as_xyz
'x,y,z'
loop_
_atom_site_label
_atom_site_fract_x
_atom_site_fract_y
_atom_site_fract_z
_atom_site_occupancy
H1 0.971 0.891 0.102 1
H2 0.529 0.891 0.602 1
H3 0.471 0.109 0.398 1
H4 0.029 0.109 0.898 1
Zn1 0.253 0.638 0.034 1
Zn2 0.247 0.638 0.534 1
Zn3 0.753 0.362 0.466 1
Zn4 0.747 0.362 0.966 1
Dy1 0.745 0.794 0.325 1
Dy2 0.755 0.794 0.825 1
Dy3 0.245 0.206 0.175 1
Dy4 0.255 0.206 0.675 1

***

(7)
# PrAgBi2, optimized geometry, DFT PBE-GGA
# E = -0.1573 Ha/atom
# Size of the total moment = 0.00 μB per cell
# Symmetry = No. 123
# Formation energy from the elements = -433 meV per atom
# Density of states at the Fermi level = 0.622 states/eV/atom
data_PrAgBi2
_chemical_formula_sum 'Pr1 Ag1 Bi2'
_cell_length_a 4.520
_cell_length_b 4.982
_cell_length_c 4.982
_cell_angle_alpha 90.00
_cell_angle_beta 90.00
_cell_angle_gamma 90.00
_symmetry_space_group_name_H-M 'P 1'
_symmetry_Int_Tables_number 1
loop_
_symmetry_equiv_pos_as_xyz
'x,y,z'
loop_
_atom_site_label
_atom_site_fract_x
_atom_site_fract_y
_atom_site_fract_z
_atom_site_occupancy
Pr1 0.500 0.500 0.500 1
Bi1 0.000 0.000 0.500 1
Bi2 0.000 0.500 0.000 1
Ag1 0.500 0.000 0.000 1

***

(8)
# LiCa2La, optimized geometry, DFT PBE-GGA
# E = -0.0969 Ha/atom
# Size of the total moment = 0.00 μB per cell
# Relative energy among the computed polymorphs = 0.000 eV per atom
# Symmetry = No. 65
# Formation energy from the elements = 73 meV per atom
# Density of states at the Fermi level = 1.393 states/eV/atom
data_LiCa2La
_chemical_formula_sum 'Li1 Ca2 La1'
_cell_length_a 3.711
_cell_length_b 3.711
_cell_length_c 10.315
_cell_angle_alpha 90.00
_cell_angle_beta 90.00
_cell_angle_gamma 90.24
_symmetry_space_group_name_H-M 'P 1'
_symmetry_Int_Tables_number 1
loop_
_symmetry_equiv_pos_as_xyz
'x,y,z'
loop_
_atom_site_label
_atom_site_fract_x
_atom_site_fract_y
_atom_site_fract_z
_atom_site_occupancy
Ca1 0.000 0.000 0.971 1
Ca2 0.000 0.000 0.529 1
Li1 0.500 0.500 0.750 1
La1 0.500 0.500 0.250 1